No. 1
The following is a GGA-PBE calculation of a geometry-optimized MgTcIr structure, from the Open Quantum Materials Database.

## Properties
Raw total energy = -6.6100 eV/atom
V = 52.6 Å³/cell

Structure (POSCAR):
```
MgTcIr
1.0
1.340 -3.860 0.999
0.195 -1.180 4.033
-2.713 -2.848 1.492
Ir Tc Mg
1 1 1
Direct
0.500 0.500 0.500 Ir
0.250 0.250 0.250 Tc
0.000 0.000 0.000 Mg
```



No. 2
The following is a GGA-PBE calculation of a geometry-optimized Y2Er2B3 structure, from the Open Quantum Materials Database.

## Properties
Raw total energy = -5.2707 eV/atom
V = 174.4 Å³/cell

Structure (POSCAR):
```
Y2Er2B3
1.0
1.701 -9.885 0.000
1.701 9.885 0.000
0.000 0.000 5.186
Er Y B
2 2 3
Direct
0.872 0.128 0.000 Er
0.128 0.872 0.000 Er
0.318 0.682 0.500 Y
0.682 0.318 0.500 Y
0.262 0.738 0.000 B
0.000 0.000 0.000 B
0.738 0.262 0.000 B
```



No. 3
The following is a GGA-PBE calculation of a geometry-optimized Rb2NiCl5 structure, from the Open Quantum Materials Database.

## Properties
V = 239.6 Å³/cell
Relative energy among the computed polymorphs = 9 meV/atom

Structure (POSCAR):
```
Rb2NiCl5
1.0
0.949 -1.737 6.597
1.501 6.655 0.945
-6.106 -1.494 -2.815
Ni Cl Rb
1 5 2
Direct
0.017 0.017 0.000 Ni
0.207 0.207 0.437 Cl
0.771 0.771 0.563 Cl
0.771 0.207 0.000 Cl
0.264 0.264 0.000 Cl
0.207 0.771 0.000 Cl
0.243 0.743 0.500 Rb
0.743 0.243 0.500 Rb
```



No. 4
The following is a GGA-PBE calculation of a geometry-optimized NaPuSn structure, from the Open Quantum Materials Database.

## Properties
Raw total energy = -6.2290 eV/atom
V = 86.9 Å³/cell

Structure (POSCAR):
```
NaPuSn
1.0
-2.763 -2.692 3.134
-4.728 -1.045 -1.124
-1.301 -4.646 -1.196
Pu Na Sn
1 1 1
Direct
0.250 0.250 0.250 Pu
0.000 0.000 0.000 Na
0.750 0.750 0.750 Sn
```



No. 5
The following is a GGA-PBE calculation of a geometry-optimized Zn2GeMo structure, from the Open Quantum Materials Database.

## Properties
Raw total energy = -4.1295 eV/atom
V = 60.8 Å³/cell

Structure (POSCAR):
```
Zn2GeMo
1.0
3.671 0.160 2.447
-0.282 -0.007 4.406
1.284 -3.550 2.288
Zn Ge Mo
2 1 1
Direct
0.000 0.000 0.000 Zn
0.750 0.750 0.750 Zn
0.500 0.500 0.500 Ge
0.250 0.250 0.250 Mo
```



No. 6
The following is a GGA-PBE calculation of a geometry-optimized RbBaCd4 structure, from the Open Quantum Materials Database.

## Properties
Raw total energy = -1.2733 eV/atom
V = 199.5 Å³/cell

Structure (POSCAR):
```
RbBaCd4
1.0
-4.262 -2.947 4.210
-1.314 6.368 1.518
-1.089 -3.703 -5.447
Cd Rb Ba
4 1 1
Direct
0.651 0.835 0.817 Cd
0.838 0.162 0.677 Cd
0.018 0.835 0.183 Cd
0.485 0.162 0.323 Cd
0.062 0.562 0.500 Rb
0.446 0.446 0.000 Ba
```



Repeat the sixth record exactly.
The following is a GGA-PBE calculation of a geometry-optimized RbBaCd4 structure, from the Open Quantum Materials Database.

## Properties
Raw total energy = -1.2733 eV/atom
V = 199.5 Å³/cell

Structure (POSCAR):
```
RbBaCd4
1.0
-4.262 -2.947 4.210
-1.314 6.368 1.518
-1.089 -3.703 -5.447
Cd Rb Ba
4 1 1
Direct
0.651 0.835 0.817 Cd
0.838 0.162 0.677 Cd
0.018 0.835 0.183 Cd
0.485 0.162 0.323 Cd
0.062 0.562 0.500 Rb
0.446 0.446 0.000 Ba
```